Entry 1:
A plane-wave DFT calculation with PBEsol was carried out for a relaxed structure of Cd2Sn2Pb.

Results
The value obtained for the raw total energy is -2.881 eV/atom. Its density of states at the Fermi level is 2.58 states/eV/f.u. For the energy relative to the elements, the calculation gives 101 meV/atom. Its space group is No. 139. The calculation puts the magnetic moment at 0.000 Bohr magnetons per cell.

Lattice parameters (Å, degrees): 8.0057 8.0057 8.0057 149.42 149.42 43.80
With the nearest neighbours (Å) after each atom.
Fractional positions:
1 Cd 0.2500 0.7500 0.5000  4 Cd 2.99, 4 Sn 3.03
2 Cd 0.7500 0.2500 0.5000  4 Cd 2.99, 4 Sn 3.03
3 Sn 0.1039 0.1039 0.0000  4 Cd 3.03, 1 Sn 3.09, 4 Pb 3.36
4 Sn 0.8961 0.8961 0.0000  4 Cd 3.03, 1 Sn 3.09, 4 Pb 3.36
5 Pb 0.5000 0.5000 0.0000  8 Sn 3.36


Entry 2:
A plane-wave DFT calculation with PBEsol was carried out for a relaxed structure of Fe2AsPb.

Results
The value obtained for the raw total energy is -6.191 eV/atom. Its density of states at the Fermi level is 4.37 states/eV/f.u. For the energy relative to the elements, the calculation gives 567 meV/atom. Its space group is No. 119. The calculation puts the magnetic moment at 4.861 Bohr magnetons per cell.

Lattice parameters (Å, degrees): 5.2378 5.2378 5.2378 137.74 137.74 61.30
With the nearest neighbours (Å) after each atom.
Fractional positions:
1 Fe 0.0000 0.0000 0.0000  4 Pb 2.67, 4 As 2.94, 4 Fe 2.94
2 Fe 0.7500 0.2500 0.5000  4 As 2.67, 4 Fe 2.94, 4 Pb 2.94
3 As 0.2500 0.7500 0.5000  8 Fe 2.67-2.94, 4 Pb 2.94
4 Pb 0.5000 0.5000 0.0000  8 Fe 2.67-2.94, 4 As 2.94


Entry 3:
A plane-wave DFT calculation with PBEsol was carried out for a relaxed structure of KPS2O.

Results
The value obtained for the raw total energy is -3.951 eV/atom. Its density of states at the Fermi level is 2.40 states/eV/f.u. Its space group is No. 123. The calculation puts the magnetic moment at 0.000 Bohr magnetons per cell. Its formation energy without anion corrections is 0.2373 eV/atom.

Lattice parameters (Å, degrees): 4.8868 4.8868 3.7128 90.00 90.00 90.00
With the nearest neighbours (Å) after each atom.
Fractional positions:
1 K 0.0000 0.0000 0.0000  8 S 3.07
2 P 0.5000 0.5000 0.0000  2 O 1.86
3 S 0.0000 0.5000 0.5000  2 O 2.44
4 S 0.5000 0.0000 0.5000  2 O 2.44
5 O 0.5000 0.5000 0.5000  2 P 1.86


Entry 4:
A plane-wave DFT calculation with PBEsol was carried out for a relaxed structure of CrOs5.

Results
The value obtained for the raw total energy is -11.885 eV/atom. Its density of states at the Fermi level is 4.25 states/eV/f.u. For the energy relative to the elements, the calculation gives 1 meV/atom. Its space group is No. 38. The calculation puts the magnetic moment at 0.000 Bohr magnetons per cell.

Lattice parameters (Å, degrees): 4.2738 7.1575 7.1575 21.87 90.00 90.00
With the nearest neighbours (Å) after each atom.
Fractional positions:
1 Cr 0.0000 0.0000 0.0000  10 Os 2.63-2.67, 2 Cr 2.71
2 Os 0.0000 0.3361 0.3361  10 Os 2.64-2.78, 2 Cr 2.67
3 Os 0.0000 0.6637 0.6637  10 Os 2.65-2.78, 2 Cr 2.67
4 Os 0.5000 0.1085 0.1085  2 Cr 2.63, 10 Os 2.65-2.75
5 Os 0.5000 0.4468 0.4468  4 Cr 2.64, 8 Os 2.64-2.72
6 Os 0.5000 0.7787 0.7787  12 Os 2.66-2.75


Entry 5:
A plane-wave DFT calculation with PBEsol was carried out for a relaxed structure of Hf2ZrBeOs.

Results
The value obtained for the raw total energy is -8.681 eV/atom. Its density of states at the Fermi level is 4.74 states/eV/f.u. For the energy relative to the elements, the calculation gives 581 meV/atom. Its space group is No. 123. The calculation puts the magnetic moment at 0.000 Bohr magnetons per cell.

Lattice parameters (Å, degrees): 4.5031 4.5031 4.4918 90.00 90.00 90.00
With the nearest neighbours (Å) after each atom.
Fractional positions:
1 Hf 0.0000 0.5000 0.0000  2 Be 2.25
2 Hf 0.5000 0.0000 0.0000  2 Be 2.25
3 Zr 0.0000 0.0000 0.5000  2 Be 2.25
4 Be 0.0000 0.0000 0.0000  2 Zr 2.25, 4 Hf 2.25
5 Os 0.5000 0.5000 0.5000  8 Hf 3.18, 4 Zr 3.18


Entry 6:
A plane-wave DFT calculation with PBEsol was carried out for a relaxed structure of Sr5Tl.

Results
The value obtained for the raw total energy is -2.126 eV/atom. Its density of states at the Fermi level is 6.08 states/eV/f.u. For the energy relative to the elements, the calculation gives -154 meV/atom. Its space group is No. 123. The calculation puts the magnetic moment at 0.002 Bohr magnetons per cell.

Lattice parameters (Å, degrees): 4.0640 4.0640 16.4517 90.00 90.00 90.00
With the nearest neighbours (Å) after each atom.
Fractional positions:
1 Sr 0.0000 0.0000 0.0000  12 Sr 4.06-4.22
2 Sr 0.0000 0.0000 0.3816  4 Tl 3.47
3 Sr 0.0000 0.0000 0.6184  4 Tl 3.47
4 Sr 0.5000 0.5000 0.1878  12 Sr 4.06-4.29
5 Sr 0.5000 0.5000 0.8122  12 Sr 4.06-4.29
6 Tl 0.5000 0.5000 0.5000  8 Sr 3.47


Entry 7:
A plane-wave DFT calculation with PBEsol was carried out for a relaxed structure of NaSbO2.

Results
The value obtained for the raw total energy is -5.603 eV/atom. Its density of states at the Fermi level is 0.00 states/eV/f.u. Its space group is No. 61. The calculation puts the magnetic moment at 0.000 Bohr magnetons per cell. Its formation energy without anion corrections is -1.4894 eV/atom.

Lattice parameters (Å, degrees): 4.7399 19.7175 5.5611 90.00 90.00 90.00
With the nearest neighbours (Å) after each atom.
Fractional positions:
1 Na 0.1732 0.2019 0.0412  5 O 2.31-2.42
2 Na 0.1732 0.2981 0.5412  5 O 2.31-2.42
3 Na 0.3268 0.7019 0.0412  5 O 2.31-2.42
4 Na 0.3268 0.7981 0.5412  5 O 2.31-2.42
5 Na 0.6732 0.2019 0.4588  5 O 2.31-2.42
6 Na 0.6732 0.2981 0.9588  5 O 2.31-2.42
7 Na 0.8268 0.7019 0.4588  5 O 2.31-2.42
8 Na 0.8268 0.7981 0.9588  5 O 2.31-2.42
9 Sb 0.1914 0.0868 0.5255  3 O 1.93-2.04
10 Sb 0.1914 0.4132 0.0255  3 O 1.93-2.04
11 Sb 0.3086 0.5868 0.5255  3 O 1.93-2.04
12 Sb 0.3086 0.9132 0.0255  3 O 1.93-2.04
13 Sb 0.6914 0.0868 0.9745  3 O 1.93-2.04
14 Sb 0.6914 0.4132 0.4745  3 O 1.93-2.04
15 Sb 0.8086 0.5868 0.9745  3 O 1.93-2.04
16 Sb 0.8086 0.9132 0.4745  3 O 1.93-2.04
17 O 0.1078 0.0896 0.8809  2 Sb 2.02-2.04
18 O 0.1078 0.4104 0.3809  2 Sb 2.02-2.04
19 O 0.1686 0.1829 0.4674  1 Sb 1.93
20 O 0.1686 0.3171 0.9674  1 Sb 1.93
21 O 0.3314 0.6829 0.4674  1 Sb 1.93
22 O 0.3314 0.8171 0.9674  1 Sb 1.93
23 O 0.3922 0.5896 0.8809  2 Sb 2.02-2.04
24 O 0.3922 0.9104 0.3809  2 Sb 2.02-2.04
25 O 0.6078 0.0896 0.6191  2 Sb 2.02-2.04
26 O 0.6078 0.4104 0.1191  2 Sb 2.02-2.04
27 O 0.6686 0.1829 0.0326  1 Sb 1.93
28 O 0.6686 0.3171 0.5326  1 Sb 1.93
29 O 0.8314 0.6829 0.0326  1 Sb 1.93
30 O 0.8314 0.8171 0.5326  1 Sb 1.93
31 O 0.8922 0.5896 0.6191  2 Sb 2.02-2.04
32 O 0.8922 0.9104 0.1191  2 Sb 2.02-2.04


Entry 8:
A plane-wave DFT calculation with PBEsol was carried out for a relaxed structure of ScIn2P.

Results
The value obtained for the raw total energy is -4.920 eV/atom. Its density of states at the Fermi level is 1.86 states/eV/f.u. For the energy relative to the elements, the calculation gives -330 meV/atom. Its space group is No. 44. The calculation puts the magnetic moment at 0.000 Bohr magnetons per cell.

Lattice parameters (Å, degrees): 5.5820 5.5820 5.5820 141.82 129.20 65.29
With the nearest neighbours (Å) after each atom.
Fractional positions:
1 Sc 0.0000 0.0000 0.0000  2 P 2.62
2 In 0.4439 0.4439 0.0000  2 P 2.93, 4 Sc 3.06, 4 In 3.15-3.22
3 In 0.7262 0.2262 0.5000  4 P 3.02, 4 In 3.15-3.22, 4 Sc 3.16-3.20
4 P 0.2001 0.7001 0.5000  2 Sc 2.62, 2 In 2.93


Entry 9:
A plane-wave DFT calculation with PBEsol was carried out for a relaxed structure of TeAs3O.

Results
The value obtained for the raw total energy is -4.542 eV/atom. Its density of states at the Fermi level is 2.65 states/eV/f.u. Its space group is No. 221. The calculation puts the magnetic moment at 0.000 Bohr magnetons per cell. Its formation energy without anion corrections is 0.2771 eV/atom.

Lattice parameters (Å, degrees): 4.4705 4.4705 4.4705 90.00 90.00 90.00
With the nearest neighbours (Å) after each atom.
Fractional positions:
1 Te 0.0000 0.0000 0.0000  12 As 3.16
2 As 0.0000 0.5000 0.5000  2 O 2.24
3 As 0.5000 0.0000 0.5000  2 O 2.24
4 As 0.5000 0.5000 0.0000  2 O 2.24
5 O 0.5000 0.5000 0.5000  6 As 2.24


Entry 10:
A plane-wave DFT calculation with PBEsol was carried out for a relaxed structure of Nd2Zn6Ge3.

Results
The value obtained for the raw total energy is -3.603 eV/atom. Its density of states at the Fermi level is 1.46 states/eV/f.u. For the energy relative to the elements, the calculation gives -454 meV/atom. Its space group is No. 189. The calculation puts the magnetic moment at 0.000 Bohr magnetons per cell.

Lattice parameters (Å, degrees): 7.5265 7.5265 4.0355 90.00 90.00 120.00
With the nearest neighbours (Å) after each atom.
Fractional positions:
1 Nd 0.3333 0.6667 0.0000  6 Ge 3.09, 9 Zn 3.19-3.37
2 Nd 0.6667 0.3333 0.0000  6 Ge 3.09, 9 Zn 3.19-3.37
3 Zn 0.0000 0.2860 0.5000  3 Ge 2.49-2.60, 4 Zn 2.77
4 Zn 0.0000 0.8104 0.0000  2 Zn 2.47, 2 Ge 2.49
5 Zn 0.1896 0.1896 0.0000  2 Zn 2.47, 2 Ge 2.49
6 Zn 0.2860 0.0000 0.5000  3 Ge 2.49-2.60, 4 Zn 2.77
7 Zn 0.7140 0.7140 0.5000  3 Ge 2.49-2.60, 4 Zn 2.77
8 Zn 0.8104 0.0000 0.0000  2 Zn 2.47, 2 Ge 2.49
9 Ge 0.0000 0.6165 0.5000  5 Zn 2.49-2.60
10 Ge 0.3835 0.3835 0.5000  5 Zn 2.49-2.60
11 Ge 0.6165 0.0000 0.5000  5 Zn 2.49-2.60


Entry 11:
A plane-wave DFT calculation with PBEsol was carried out for a relaxed structure of PPbSeN2.

Results
The value obtained for the raw total energy is -4.175 eV/atom. Its density of states at the Fermi level is 3.34 states/eV/f.u. Its space group is No. 123. The calculation puts the magnetic moment at 3.698 Bohr magnetons per cell. Its formation energy without anion corrections is 1.9640 eV/atom.

Lattice parameters (Å, degrees): 4.1987 4.1987 5.8850 90.00 90.00 90.00
With the nearest neighbours (Å) after each atom.
Fractional positions:
1 P 0.0000 0.0000 0.0000  4 Se 2.97
2 Pb 0.5000 0.5000 0.5000  4 N 2.10
3 Se 0.5000 0.5000 0.0000  2 Pb 2.94, 4 P 2.97
4 N 0.0000 0.5000 0.5000  2 Pb 2.10
5 N 0.5000 0.0000 0.5000  2 Pb 2.10


Entry 12:
A plane-wave DFT calculation with PBEsol was carried out for a relaxed structure of YTeO2.

Results
The value obtained for the raw total energy is -6.316 eV/atom. Its density of states at the Fermi level is 1.24 states/eV/f.u. Its space group is No. 166. The calculation puts the magnetic moment at 0.000 Bohr magnetons per cell. Its formation energy without anion corrections is -1.1042 eV/atom.

Lattice parameters (Å, degrees): 6.0143 6.0143 6.0143 37.98 37.98 37.98
With the nearest neighbours (Å) after each atom.
Fractional positions:
1 Y 0.0000 0.0000 0.0000  2 O 2.15
2 Te 0.5000 0.5000 0.5000  6 O 2.35
3 O 0.1283 0.1283 0.1283  1 Y 2.15, 3 Te 2.35
4 O 0.8717 0.8717 0.8717  1 Y 2.15, 3 Te 2.35